# 1
Crystalline Pd2SeI at its relaxed geometry, computed with PBE. Values from VASP.

Geometry as Quantum ESPRESSO input:
```
&SYSTEM
  ibrav = 0, nat = 4, ntyp = 3
/
ATOMIC_SPECIES
I 126.90 I.upf
Se 78.96 Se.upf
Pd 106.42 Pd.upf
CELL_PARAMETERS angstrom
3.592 -2.658 -1.766
0.878 -4.362 1.814
-0.968 -3.923 -2.601
ATOMIC_POSITIONS angstrom
I 1.751 -5.471 -1.276
Se 0.000 0.000 0.000
Pd 0.875 -2.736 -0.638
Pd 2.626 -8.207 -1.915
```

Properties
Symmetry   Fm-3m
Energy   -3.63 eV per atom
Distance to the lowest polymorph of the same formula   0.287 eV per atom

=====

# 2
Crystalline Pd2Se2I at its relaxed geometry, computed with PBE. Values from VASP.

Geometry as Quantum ESPRESSO input:
```
&SYSTEM
  ibrav = 0, nat = 10, ntyp = 3
/
ATOMIC_SPECIES
I 126.90 I.upf
Se 78.96 Se.upf
Pd 106.42 Pd.upf
CELL_PARAMETERS angstrom
7.671 0.000 0.000
0.000 7.671 0.000
0.000 0.000 3.504
ATOMIC_POSITIONS angstrom
I 0.000 0.000 0.000
I 3.835 3.835 0.000
Se 1.047 4.883 1.752
Se 4.883 6.624 1.752
Se 6.624 2.788 1.752
Se 2.788 1.047 1.752
Pd 2.802 6.638 0.000
Pd 6.638 4.869 0.000
Pd 4.869 1.033 0.000
Pd 1.033 2.802 0.000
```

Properties
Symmetry   P4/mbm
Energy   -3.65 eV per atom
Distance to the lowest polymorph of the same formula   0.079 eV per atom

=====

# 3
Crystalline PdSeI3 at its relaxed geometry, computed with PBE. Values from VASP.

Geometry as Quantum ESPRESSO input:
```
&SYSTEM
  ibrav = 0, nat = 5, ntyp = 3
/
ATOMIC_SPECIES
I 126.90 I.upf
Se 78.96 Se.upf
Pd 106.42 Pd.upf
CELL_PARAMETERS angstrom
5.712 0.000 0.000
0.000 5.712 0.000
0.000 0.000 5.712
ATOMIC_POSITIONS angstrom
I 0.000 2.856 0.000
I 0.000 0.000 2.856
I 2.856 0.000 0.000
Se 0.000 0.000 0.000
Pd 2.856 2.856 2.856
```

Properties
Symmetry   Pm-3m
Energy   -2.08 eV per atom
Distance to the lowest polymorph of the same formula   0.686 eV per atom

=====

# 4
Crystalline Pd2SeI at its relaxed geometry, computed with PBE. Values from VASP.

Geometry as Quantum ESPRESSO input:
```
&SYSTEM
  ibrav = 0, nat = 8, ntyp = 3
/
ATOMIC_SPECIES
Pd 106.42 Pd.upf
Se 78.96 Se.upf
I 126.90 I.upf
CELL_PARAMETERS angstrom
4.281 -0.001 0.000
-0.001 7.427 -0.135
-2.142 -2.737 6.500
ATOMIC_POSITIONS angstrom
Pd -1.076 4.036 4.303
Pd 3.273 -0.940 3.005
Pd 1.063 2.774 2.941
Pd 1.133 0.320 4.369
Se 1.098 5.261 3.586
Se -1.042 1.548 3.655
I 0.028 6.630 0.336
I 0.033 2.916 0.404
```

Properties
Symmetry   C2/c
Energy   -3.87 eV per atom
Distance to the lowest polymorph of the same formula   0.050 eV per atom

=====

# 5
Crystalline Pd5Se2I2 at its relaxed geometry, computed with PBE. Values from VASP.

Geometry as Quantum ESPRESSO input:
```
&SYSTEM
  ibrav = 0, nat = 9, ntyp = 3
/
ATOMIC_SPECIES
Pd 106.42 Pd.upf
Se 78.96 Se.upf
I 126.90 I.upf
CELL_PARAMETERS angstrom
-3.325 0.363 -3.212
-3.104 -2.799 6.244
1.529 7.523 -0.733
ATOMIC_POSITIONS angstrom
Pd -3.764 -2.021 3.669
Pd -1.135 7.107 -1.370
Pd -0.550 2.595 0.862
Pd -4.350 2.492 1.437
Pd 0.000 0.000 0.000
Se -2.253 3.075 2.680
Se -2.647 2.012 -0.381
I 0.140 5.423 0.467
I -5.040 -0.336 1.832
```

Properties
Symmetry   C2/m
Energy   -4.07 eV per atom

=====

# 6
Crystalline Pd2SeI3 at its relaxed geometry, computed with PBE. Values from VASP.

Geometry as Quantum ESPRESSO input:
```
&SYSTEM
  ibrav = 0, nat = 12, ntyp = 3
/
ATOMIC_SPECIES
Pd 106.42 Pd.upf
Se 78.96 Se.upf
I 126.90 I.upf
CELL_PARAMETERS angstrom
3.884 0.000 0.000
1.942 9.784 -1.130
1.942 1.254 9.749
ATOMIC_POSITIONS angstrom
Pd 5.825 5.279 7.554
Pd 1.942 5.759 1.064
Pd 3.884 3.554 4.429
Pd 3.884 7.485 4.189
Se 3.884 5.651 5.870
Se 3.884 5.387 2.748
I 1.942 2.748 6.619
I 5.825 8.290 1.999
I 5.825 7.753 8.842
I 1.942 3.285 -0.224
I 5.825 9.103 5.484
I 1.942 1.936 3.134
```

Properties
Symmetry   C2/m
Energy   -3.17 eV per atom

=====

# 7
Crystalline Pd2Se3I at its relaxed geometry, computed with PBE. Values from VASP.

Geometry as Quantum ESPRESSO input:
```
&SYSTEM
  ibrav = 0, nat = 12, ntyp = 3
/
ATOMIC_SPECIES
Pd 106.42 Pd.upf
Se 78.96 Se.upf
I 126.90 I.upf
CELL_PARAMETERS angstrom
7.732 0.000 0.000
-3.866 6.697 0.000
0.000 0.000 5.510
ATOMIC_POSITIONS angstrom
Pd 0.000 0.000 0.000
Pd -1.933 3.348 0.000
Pd 1.933 3.348 0.000
Pd 3.866 0.000 0.000
Se 0.000 2.289 4.318
Se -1.884 5.552 4.318
Se 1.884 5.552 4.318
Se 1.982 1.144 1.192
Se 3.866 4.408 1.192
Se 5.750 1.144 1.192
I 0.000 4.464 1.940
I 3.866 2.232 3.570
```

Properties
Symmetry   P-3m1
Energy   -3.93 eV per atom
Distance to the lowest polymorph of the same formula   0.000 eV per atom

=====

# 8
Crystalline Pd2Se2I at its relaxed geometry, computed with PBE. Values from VASP.

Geometry as Quantum ESPRESSO input:
```
&SYSTEM
  ibrav = 0, nat = 5, ntyp = 3
/
ATOMIC_SPECIES
I 126.90 I.upf
Se 78.96 Se.upf
Pd 106.42 Pd.upf
CELL_PARAMETERS angstrom
4.496 0.000 0.000
0.000 4.496 0.000
2.248 2.248 6.183
ATOMIC_POSITIONS angstrom
I 0.000 0.000 0.000
Se 4.496 2.248 3.091
Se 2.248 4.496 3.091
Pd 2.248 2.248 1.949
Pd 4.496 4.496 4.234
```

Properties
Symmetry   I4/mmm
Energy   -3.73 eV per atom
Distance to the lowest polymorph of the same formula   0.000 eV per atom

=====

- What is the formula in the fifth record?
  Pd5Se2I2

=====

- What is the formula in the sixth record?
  Pd2SeI3

=====

Please write out number 3 again, unchanged.
Crystalline PdSeI3 at its relaxed geometry, computed with PBE. Values from VASP.

Geometry as Quantum ESPRESSO input:
```
&SYSTEM
  ibrav = 0, nat = 5, ntyp = 3
/
ATOMIC_SPECIES
I 126.90 I.upf
Se 78.96 Se.upf
Pd 106.42 Pd.upf
CELL_PARAMETERS angstrom
5.712 0.000 0.000
0.000 5.712 0.000
0.000 0.000 5.712
ATOMIC_POSITIONS angstrom
I 0.000 2.856 0.000
I 0.000 0.000 2.856
I 2.856 0.000 0.000
Se 0.000 0.000 0.000
Pd 2.856 2.856 2.856
```

Properties
Symmetry   Pm-3m
Energy   -2.08 eV per atom
Distance to the lowest polymorph of the same formula   0.686 eV per atom